Entry 1:
Compound: CdSnAsSe2
Source: Alexandria
Functional: PBE
Structure: optimized geometry

Values from the calculation:
Density in g cm⁻³: 5.441
Uncorrected energy in eV per atom: -2.84
Formation energy from raw total energies in eV per atom: 0.47

Lattice parameters (Å, degrees): 5.272 5.272 5.094 90.00 90.00 90.00
Sites, in units of the cell vectors:
Cd  0.000  0.000  0.000
Sn  0.500  0.500  0.500
As  0.000  0.000  0.500
Se  0.000  0.500  0.000
Se  0.500  0.000  0.000



Entry 2:
Compound: CdSnAsSe
Source: Alexandria
Functional: PBE
Structure: optimized geometry

Values from the calculation:
Density in g cm⁻³: 5.445
Uncorrected energy in eV per atom: -3.52
Formation energy from raw total energies in eV per atom: -0.25

Lattice parameters (Å, degrees): 4.265 4.265 6.858 99.62 99.62 74.31
Sites, in units of the cell vectors:
Cd  0.000  0.000  0.000
Sn  0.536  0.536  0.472
As  0.128  0.128  0.395
Se  0.597  0.597  0.874



Entry 3:
Compound: CdSnAs2Se
Source: Alexandria
Functional: PBE
Structure: optimized geometry

Values from the calculation:
Density in g cm⁻³: 5.450
Uncorrected energy in eV per atom: -2.89
Formation energy from raw total energies in eV per atom: 0.65

Lattice parameters (Å, degrees): 5.119 5.119 5.348 90.00 90.00 90.00
Sites, in units of the cell vectors:
Cd  0.000  0.000  0.000
Sn  0.500  0.500  0.500
As  0.000  0.500  0.000
As  0.500  0.000  0.000
Se  0.000  0.000  0.500



Entry 4:
Compound: CdSnAsWSe
Source: Alexandria
Functional: PBE
Structure: optimized geometry

Values from the calculation:
Density in g cm⁻³: 7.907
Uncorrected energy in eV per atom: -5.03
Formation energy from raw total energies in eV per atom: 0.17

Lattice parameters (Å, degrees): 6.088 6.088 6.418 109.35 109.35 32.34
Sites, in units of the cell vectors:
Cd  0.000  0.000  0.000
Sn  0.234  0.234  0.935
As  0.343  0.343  0.398
W  0.783  0.783  0.623
Se  0.576  0.576  0.380



Entry 5:
Compound: CdSnAsWSe
Source: Alexandria
Functional: PBE
Structure: optimized geometry

Values from the calculation:
Density in g cm⁻³: 8.076
Uncorrected energy in eV per atom: -5.05
Formation energy from raw total energies in eV per atom: 0.15

Lattice parameters (Å, degrees): 3.023 4.940 7.832 90.00 90.00 90.00
Sites, in units of the cell vectors:
Cd  0.000  0.000  0.000
Sn  0.000  0.000  0.452
As  0.000  0.500  0.241
W  0.500  0.500  0.961
Se  0.000  0.500  0.710



Entry 6:
Compound: CdSnAsWSe
Source: Alexandria
Functional: PBE
Structure: optimized geometry

Values from the calculation:
Density in g cm⁻³: 8.283
Uncorrected energy in eV per atom: -5.09
Formation energy from raw total energies in eV per atom: 0.11

Lattice parameters (Å, degrees): 3.315 5.886 6.292 105.22 105.16 90.02
Sites, in units of the cell vectors:
Cd  0.000  0.000  0.000
Sn  0.742  0.920  0.485
As  0.076  0.582  0.151
W  0.667  0.360  0.333
Se  0.325  0.442  0.651



Entry 7:
Compound: CdSnAsWSe
Source: Alexandria
Functional: PBE
Structure: optimized geometry

Values from the calculation:
Density in g cm⁻³: 8.335
Uncorrected energy in eV per atom: -5.09
Formation energy from raw total energies in eV per atom: 0.11

Lattice parameters (Å, degrees): 5.740 3.296 6.200 90.00 104.97 90.00
Sites, in units of the cell vectors:
Cd  0.000  0.000  0.000
Sn  0.899  0.500  0.532
As  0.574  0.000  0.181
W  0.340  0.500  0.352
Se  0.422  0.000  0.663



Entry 8:
Compound: CdSnAsWSe
Source: Alexandria
Functional: PBE
Structure: optimized geometry

Values from the calculation:
Density in g cm⁻³: 8.041
Uncorrected energy in eV per atom: -5.14
Formation energy from raw total energies in eV per atom: 0.06

Lattice parameters (Å, degrees): 3.336 5.368 7.154 93.12 103.45 107.87
Sites, in units of the cell vectors:
Cd  0.000  0.000  0.000
Sn  0.807  0.215  0.409
As  0.330  0.550  0.117
W  0.066  0.763  0.376
Se  0.662  0.685  0.649



Entry 9:
Compound: CdSnAsWSe
Source: Alexandria
Functional: PBE
Structure: optimized geometry

Values from the calculation:
Density in g cm⁻³: 8.260
Uncorrected energy in eV per atom: -5.13
Formation energy from raw total energies in eV per atom: 0.07

Lattice parameters (Å, degrees): 5.961 5.961 6.736 113.44 113.44 31.64
Sites, in units of the cell vectors:
Cd  0.000  0.000  0.000
Sn  0.616  0.616  0.493
As  0.696  0.696  0.936
W  0.356  0.356  0.194
Se  0.852  0.852  0.479



Entry 10:
Compound: CdSnAsWSe
Source: Alexandria
Functional: PBE
Structure: optimized geometry

Values from the calculation:
Density in g cm⁻³: 8.000
Uncorrected energy in eV per atom: -5.11
Formation energy from raw total energies in eV per atom: 0.09

Lattice parameters (Å, degrees): 5.742 5.742 6.753 101.77 101.77 32.88
Sites, in units of the cell vectors:
Cd  0.000  0.000  0.000
Sn  0.141  0.141  0.460
As  0.269  0.269  0.876
W  0.736  0.736  0.148
Se  0.381  0.381  0.373



Entry 11:
Compound: CdSnAsWSe
Source: Alexandria
Functional: PBE
Structure: optimized geometry

Values from the calculation:
Density in g cm⁻³: 8.343
Uncorrected energy in eV per atom: -5.15
Formation energy from raw total energies in eV per atom: 0.05

Lattice parameters (Å, degrees): 5.914 3.221 6.514 90.00 114.17 90.00
Sites, in units of the cell vectors:
Cd  0.000  0.000  0.000
Sn  0.271  0.000  0.527
As  0.523  0.000  0.991
W  0.462  0.500  0.266
Se  0.794  0.000  0.522



Entry 12:
Compound: CdSnAsWSe
Source: Alexandria
Functional: PBE
Structure: optimized geometry

Values from the calculation:
Density in g cm⁻³: 7.355
Uncorrected energy in eV per atom: -5.04
Formation energy from raw total energies in eV per atom: 0.16

Lattice parameters (Å, degrees): 6.126 3.203 6.637 90.00 99.45 90.00
Sites, in units of the cell vectors:
Cd  0.000  0.000  0.000
Sn  0.519  0.000  0.139
As  0.202  0.000  0.409
W  0.877  0.500  0.370
Se  0.752  0.000  0.622



Entry 13:
Compound: CdSnAsWSe
Source: Alexandria
Functional: PBE
Structure: optimized geometry

Values from the calculation:
Density in g cm⁻³: 7.335
Uncorrected energy in eV per atom: -5.06
Formation energy from raw total energies in eV per atom: 0.15

Lattice parameters (Å, degrees): 5.625 3.055 7.776 90.00 105.49 90.00
Sites, in units of the cell vectors:
Cd  0.000  0.000  0.000
Sn  0.835  0.000  0.614
As  0.309  0.000  0.416
W  0.927  0.500  0.318
Se  0.567  0.000  0.175



Entry 14:
Compound: CdSnAsWSe
Source: Alexandria
Functional: PBE
Structure: optimized geometry

Values from the calculation:
Density in g cm⁻³: 8.232
Uncorrected energy in eV per atom: -5.07
Formation energy from raw total energies in eV per atom: 0.13

Lattice parameters (Å, degrees): 6.361 6.361 5.699 98.11 98.11 30.20
Sites, in units of the cell vectors:
Cd  0.000  0.000  0.000
Sn  0.253  0.253  0.100
As  0.546  0.546  0.578
W  0.896  0.896  0.434
Se  0.277  0.277  0.622



Entry 15:
Compound: TaCdAsSe2
Source: Alexandria
Functional: PBE
Structure: optimized geometry

Values from the calculation:
Density in g cm⁻³: 6.916
Uncorrected energy in eV per atom: -3.54
Formation energy from raw total energies in eV per atom: 1.33

Lattice parameters (Å, degrees): 5.031 5.031 4.992 90.00 90.00 90.00
Sites, in units of the cell vectors:
Ta  0.000  0.000  0.000
Cd  0.500  0.500  0.500
As  0.500  0.500  0.000
Se  0.000  0.500  0.500
Se  0.500  0.000  0.500



Entry 16:
Compound: TaCdAsSe2
Source: Alexandria
Functional: PBE
Structure: optimized geometry

Values from the calculation:
Density in g cm⁻³: 6.761
Uncorrected energy in eV per atom: -4.89
Formation energy from raw total energies in eV per atom: -0.01

Lattice parameters (Å, degrees): 5.001 5.001 5.167 90.00 90.00 90.00
Sites, in units of the cell vectors:
Ta  0.000  0.000  0.000
Cd  0.500  0.500  0.500
As  0.000  0.000  0.500
Se  0.000  0.500  0.000
Se  0.500  0.000  0.000



Entry 17:
Compound: CdTcAs2Se
Source: Alexandria
Functional: PBE
Structure: optimized geometry

Values from the calculation:
Density in g cm⁻³: 6.018
Uncorrected energy in eV per atom: -4.47
Formation energy from raw total energies in eV per atom: 0.34

Lattice parameters (Å, degrees): 4.684 4.684 5.525 90.00 90.00 90.00
Sites, in units of the cell vectors:
Cd  0.000  0.000  0.000
Tc  0.500  0.500  0.500
As  0.000  0.500  0.500
As  0.500  0.000  0.500
Se  0.500  0.500  0.000



Entry 18:
Compound: Cd2TcAsSe
Source: Alexandria
Functional: PBE
Structure: optimized geometry

Values from the calculation:
Density in g cm⁻³: 6.371
Uncorrected energy in eV per atom: -3.16
Formation energy from raw total energies in eV per atom: 0.90

Lattice parameters (Å, degrees): 5.198 5.198 4.599 90.00 90.00 90.00
Sites, in units of the cell vectors:
Cd  0.000  0.500  0.000
Cd  0.500  0.000  0.000
Tc  0.000  0.000  0.500
As  0.500  0.500  0.500
Se  0.000  0.000  0.000



Entry 19:
Compound: CdTeAsSe2
Source: Alexandria
Functional: PBE
Structure: optimized geometry

Values from the calculation:
Density in g cm⁻³: 5.058
Uncorrected energy in eV per atom: -2.54
Formation energy from raw total energies in eV per atom: 0.59

Lattice parameters (Å, degrees): 5.361 5.361 5.401 90.00 90.00 90.00
Sites, in units of the cell vectors:
Cd  0.000  0.000  0.000
Te  0.500  0.500  0.500
As  0.500  0.500  0.000
Se  0.000  0.500  0.500
Se  0.500  0.000  0.500



Entry 20:
Compound: TiCdAsSe2
Source: Alexandria
Functional: PBE
Structure: optimized geometry

Values from the calculation:
Density in g cm⁻³: 5.338
Uncorrected energy in eV per atom: -4.27
Formation energy from raw total energies in eV per atom: -0.18

Lattice parameters (Å, degrees): 4.929 4.929 5.034 90.00 90.00 90.00
Sites, in units of the cell vectors:
Ti  0.000  0.000  0.000
Cd  0.500  0.500  0.500
As  0.000  0.000  0.500
Se  0.000  0.500  0.000
Se  0.500  0.000  0.000